LaNd3Ga PBE optimized geometry; size of the total moment = 0.0 μB/cell; symmetry = Pnma (62); VASP energy = -4.615 eV per atom
1.0
-1.5626 0.9382 -4.7222
7.0498 -8.0075 -3.9237
-8.0028 -7.6032 1.1377
La Nd Ga
4 12 4
Cartesian
-3.7104 -12.9146 -5.4072
0.9020 -9.3886 -3.5202
-3.4177 -5.2839 -3.9881
1.1947 -1.7579 -2.1010
2.8506 -5.0872 -3.3104
-5.3662 -9.5853 -4.1978
-3.1031 -3.3909 -1.0032
0.5875 -11.2816 -6.5050
-3.4057 -7.9180 -1.8025
-1.7310 -1.8920 -3.8723
-0.7846 -12.7805 -3.6359
-2.2106 -9.0653 -5.1388
-0.3051 -5.6072 -2.3694
-7.2420 -6.4928 -2.9627
0.8900 -6.7545 -5.7057
4.7264 -8.1797 -4.5455
-5.1224 -5.6537 -0.7846
-2.8028 -10.8026 -2.5751
0.2871 -3.8699 -4.9331
2.6067 -9.0188 -6.7236